Record 1
Density functional theory data (PBE) for a geometry-optimized SmHfC2 structure. Values from VASP.

- E_form (eV per atom) = -0.32
- calculated volume (Å³/cell) = 179.5
- total moment (μB per formula unit) = 0.00

Structure (Quantum ESPRESSO input):
```
&SYSTEM
  ibrav = 0, nat = 12, ntyp = 3
/
ATOMIC_SPECIES
Sm 150.36 Sm.upf
Hf 178.49 Hf.upf
C 12.01 C.upf
CELL_PARAMETERS angstrom
3.4521 0.0000 0.0000
-1.7261 2.9896 0.0000
0.0000 0.0000 17.3938
ATOMIC_POSITIONS crystal
Sm 0.0000 0.0000 0.0000
Sm 0.3333 0.6667 0.6667
Sm 0.6667 0.3333 0.3333
Hf 0.0000 0.0000 0.5000
Hf 0.3333 0.6667 0.1667
Hf 0.6667 0.3333 0.8333
C 0.0000 0.0000 0.2388
C 0.0000 0.0000 0.7612
C 0.3333 0.6667 0.4279
C 0.3333 0.6667 0.9055
C 0.6667 0.3333 0.0945
C 0.6667 0.3333 0.5721
```

Record 2
Density functional theory data (PBE) for a geometry-optimized LaPmY6Er2 structure. Values from VASP.

- E_form (eV per atom) = 0.12
- calculated volume (Å³/cell) = 663.2
- total moment (μB per formula unit) = 0.00

Structure (Quantum ESPRESSO input):
```
&SYSTEM
  ibrav = 0, nat = 20, ntyp = 4
/
ATOMIC_SPECIES
La 138.91 La.upf
Pm 145.00 Pm.upf
Y 88.91 Y.upf
Er 167.26 Er.upf
CELL_PARAMETERS angstrom
4.6486 -7.5306 0.0000
4.6486 7.5306 0.0000
-0.9485 0.0000 9.4728
ATOMIC_POSITIONS crystal
La 0.0345 0.9655 0.7500
La 0.9655 0.0345 0.2500
Pm 0.4109 0.5891 0.2500
Pm 0.5891 0.4109 0.7500
Y 0.0123 0.5569 0.6793
Y 0.1163 0.7562 0.0578
Y 0.2438 0.8837 0.4422
Y 0.2937 0.5187 0.8878
Y 0.4431 0.9877 0.8207
Y 0.4813 0.7063 0.6122
Y 0.5187 0.2937 0.3878
Y 0.5569 0.0123 0.1793
Y 0.7063 0.4813 0.1122
Y 0.7562 0.1163 0.5578
Y 0.8837 0.2438 0.9422
Y 0.9877 0.4431 0.3207
Er 0.1977 0.3006 0.5531
Er 0.3006 0.1977 0.0531
Er 0.6994 0.8023 0.9469
Er 0.8023 0.6994 0.4469
```

Record 3
Density functional theory data (PBE) for a geometry-optimized Be2NbNi structure. Values from VASP.

- E_form (eV per atom) = -0.28
- calculated volume (Å³/cell) = 178.8
- total moment (μB per formula unit) = 0.00
- excess energy over the best structure of this formula in the dataset (meV/atom) = 0

Structure (Quantum ESPRESSO input):
```
&SYSTEM
  ibrav = 0, nat = 16, ntyp = 3
/
ATOMIC_SPECIES
Be 9.01 Be.upf
Nb 92.91 Nb.upf
Ni 58.69 Ni.upf
CELL_PARAMETERS angstrom
5.7852 0.0000 0.0000
0.0000 3.6078 0.0000
0.0000 0.0000 8.5659
ATOMIC_POSITIONS crystal
Be 0.0839 0.2500 0.1474
Be 0.2086 0.7500 0.0413
Be 0.2914 0.2500 0.5413
Be 0.4161 0.7500 0.6474
Be 0.5839 0.2500 0.3526
Be 0.7086 0.7500 0.4587
Be 0.7914 0.2500 0.9587
Be 0.9161 0.7500 0.8526
Nb 0.2194 0.2500 0.8307
Nb 0.2806 0.7500 0.3307
Nb 0.7194 0.2500 0.6693
Nb 0.7806 0.7500 0.1693
Ni 0.0468 0.7500 0.5983
Ni 0.4532 0.2500 0.0983
Ni 0.5468 0.7500 0.9017
Ni 0.9532 0.2500 0.4017
```

Record 4
Density functional theory data (PBE) for a geometry-optimized LiHo3Ga4 structure. Values from VASP.

- E_form (eV per atom) = -0.51
- calculated volume (Å³/cell) = 170.3
- total moment (μB per formula unit) = 0.00

Structure (Quantum ESPRESSO input):
```
&SYSTEM
  ibrav = 0, nat = 8, ntyp = 3
/
ATOMIC_SPECIES
Li 6.94 Li.upf
Ho 164.93 Ho.upf
Ga 69.72 Ga.upf
CELL_PARAMETERS angstrom
2.4453 1.4118 8.2215
-2.4453 1.4118 8.2215
0.0000 -2.8236 8.2215
ATOMIC_POSITIONS crystal
Li 0.0000 0.0000 0.0000
Ho 0.2568 0.2568 0.2568
Ho 0.5000 0.5000 0.5000
Ho 0.7432 0.7432 0.7432
Ga 0.1237 0.1237 0.1237
Ga 0.3747 0.3747 0.3747
Ga 0.6253 0.6253 0.6253
Ga 0.8763 0.8763 0.8763
```

Record 5
Density functional theory data (PBE) for a geometry-optimized Ba5As3O structure. Values from VASP.

- formation energy from raw total energies (meV/atom) = -1364
- calculated volume (Å³/cell) = 606.9
- total moment (μB per formula unit) = 0.83

Structure (Quantum ESPRESSO input):
```
&SYSTEM
  ibrav = 0, nat = 18, ntyp = 3
/
ATOMIC_SPECIES
Ba 137.33 Ba.upf
As 74.92 As.upf
O 16.00 O.upf
CELL_PARAMETERS angstrom
-4.3976 4.3976 7.8453
4.3976 -4.3976 7.8453
4.3976 4.3976 -7.8453
ATOMIC_POSITIONS crystal
Ba 0.0000 0.0000 0.0000
Ba 0.0090 0.5090 0.8151
Ba 0.1938 0.0090 0.5000
Ba 0.3062 0.8062 0.8151
Ba 0.4910 0.3062 0.5000
Ba 0.5000 0.5000 0.0000
Ba 0.5090 0.6938 0.5000
Ba 0.6938 0.1938 0.1849
Ba 0.8062 0.9910 0.5000
Ba 0.9910 0.4910 0.1849
As 0.1316 0.3684 0.5000
As 0.2500 0.2500 0.0000
As 0.3684 0.8684 0.2369
As 0.6316 0.1316 0.7631
As 0.7500 0.7500 0.0000
As 0.8684 0.6316 0.5000
O 0.2500 0.7500 0.5000
O 0.7500 0.2500 0.5000
```

Record 6
Density functional theory data (PBE) for a geometry-optimized NdY3Th4Se8 structure. Values from VASP.

- formation energy from raw total energies (meV/atom) = -1656
- calculated volume (Å³/cell) = 407.9
- total moment (μB per formula unit) = 0.00

Structure (Quantum ESPRESSO input):
```
&SYSTEM
  ibrav = 0, nat = 16, ntyp = 4
/
ATOMIC_SPECIES
Nd 144.24 Nd.upf
Y 88.91 Y.upf
Th 232.04 Th.upf
Se 78.96 Se.upf
CELL_PARAMETERS angstrom
4.0825 2.3570 7.0654
-4.0825 2.3570 7.0654
0.0000 -4.7141 7.0654
ATOMIC_POSITIONS crystal
Nd 0.0000 0.0000 0.0000
Y 0.0000 0.5000 0.5000
Y 0.5000 0.0000 0.5000
Y 0.5000 0.5000 0.0000
Th 0.0000 0.0000 0.5000
Th 0.0000 0.5000 0.0000
Th 0.5000 0.0000 0.0000
Th 0.5000 0.5000 0.5000
Se 0.2492 0.2492 0.7408
Se 0.2492 0.7408 0.2492
Se 0.2549 0.2549 0.2549
Se 0.2592 0.7508 0.7508
Se 0.7408 0.2492 0.2492
Se 0.7451 0.7451 0.7451
Se 0.7508 0.2592 0.7508
Se 0.7508 0.7508 0.2592
```

Record 7
Density functional theory data (PBE) for a geometry-optimized RbAgIBr2 structure. Values from VASP.

- formation energy from raw total energies (meV/atom) = -787
- calculated volume (Å³/cell) = 173.7
- total moment (μB per formula unit) = 0.00

Structure (Quantum ESPRESSO input):
```
&SYSTEM
  ibrav = 0, nat = 5, ntyp = 4
/
ATOMIC_SPECIES
Rb 85.47 Rb.upf
Ag 107.87 Ag.upf
I 126.90 I.upf
Br 79.90 Br.upf
CELL_PARAMETERS angstrom
5.5139 0.0000 0.0000
0.0000 5.5139 0.0000
0.0000 0.0000 5.7133
ATOMIC_POSITIONS crystal
Rb 0.0000 0.0000 0.0000
Ag 0.5000 0.5000 0.5000
I 0.5000 0.5000 0.0000
Br 0.0000 0.5000 0.5000
Br 0.5000 0.0000 0.5000
```

Record 8
Density functional theory data (PBE) for a geometry-optimized TlIn2Rh structure. Values from VASP.

- E_form (eV per atom) = 0.15
- calculated volume (Å³/cell) = 173.7
- total moment (μB per formula unit) = 0.00
- excess energy over the best structure of this formula in the dataset (meV/atom) = 285

Structure (Quantum ESPRESSO input):
```
&SYSTEM
  ibrav = 0, nat = 8, ntyp = 3
/
ATOMIC_SPECIES
Tl 204.38 Tl.upf
In 114.82 In.upf
Rh 102.91 Rh.upf
CELL_PARAMETERS angstrom
5.8657 0.0000 0.0000
0.0000 7.5166 0.0000
0.0000 0.0000 3.9403
ATOMIC_POSITIONS crystal
Tl 0.0000 0.0000 0.0000
Tl 0.5000 0.5000 0.0000
In 0.2500 0.2500 0.5000
In 0.2500 0.7500 0.5000
In 0.7500 0.2500 0.5000
In 0.7500 0.7500 0.5000
Rh 0.0000 0.5000 0.0000
Rh 0.5000 0.0000 0.0000
```